{"formula": "HoTlCuBr5", "functional": "PBE", "state": "relaxed", "spacegroup": "C2/c (15)", "dos_at_fermi_per_ev_cell": 0.000, "magnetic_moment_mub_per_atom": 0.0188, "final_energy_ev_per_cell": -57.96, "mass_density_g_cm3": 5.0, "lattice_angstrom": [[7.727, 0.024, -0.082], [-2.233, 7.398, -0.082], [-2.374, -3.207, 9.687]], "species": ["Ho", "Ho", "Tl", "Tl", "Cu", "Cu", "Br", "Br", "Br", "Br", "Br", "Br", "Br", "Br", "Br", "Br"], "frac_coords": [[0.000, 0.000, 0.500], [0.000, 0.000, 0.000], [0.357, 0.643, 0.250], [0.643, 0.357, 0.750], [0.692, 0.308, 0.250], [0.308, 0.692, 0.750], [0.081, 0.919, 0.250], [0.919, 0.081, 0.750], [0.909, 0.315, 0.113], [0.091, 0.685, 0.887], [0.685, 0.091, 0.387], [0.315, 0.909, 0.613], [0.759, 0.620, 0.430], [0.241, 0.380, 0.570], [0.380, 0.241, 0.070], [0.620, 0.759, 0.930]]}

{"formula": "HoTl2CuBr6", "functional": "PBE", "state": "relaxed", "spacegroup": "C2/m (12)", "dos_at_fermi_per_ev_cell": 0.000, "magnetic_moment_mub_per_atom": 0.0000, "final_energy_ev_per_cell": -34.35, "mass_density_g_cm3": 5.4, "lattice_angstrom": [[-4.820, -4.825, -0.577], [5.088, -5.262, 1.507], [-2.073, 5.035, 6.053]], "species": ["Ho", "Tl", "Tl", "Cu", "Br", "Br", "Br", "Br", "Br", "Br"], "frac_coords": [[0.000, 0.500, 0.000], [0.192, 0.239, 0.479], [0.808, 0.761, 0.521], [0.500, 0.000, 0.000], [0.288, 0.693, 0.385], [0.216, 0.172, 0.868], [0.784, 0.304, 0.132], [0.216, 0.696, 0.868], [0.784, 0.828, 0.132], [0.712, 0.307, 0.615]]}

{"formula": "Cu3IBr9", "functional": "PBE", "state": "relaxed", "spacegroup": "Cc (9)", "dos_at_fermi_per_ev_cell": 18.286, "magnetic_moment_mub_per_atom": 0.0000, "final_energy_ev_per_cell": -60.68, "mass_density_g_cm3": 3.5, "lattice_angstrom": [[-2.927, 8.019, -2.490], [-10.653, 0.504, -1.732], [-4.891, 6.051, 9.361]], "species": ["Cu", "Cu", "Cu", "Cu", "Cu", "Cu", "I", "I", "Br", "Br", "Br", "Br", "Br", "Br", "Br", "Br", "Br", "Br", "Br", "Br", "Br", "Br", "Br", "Br", "Br", "Br"], "frac_coords": [[0.803, 0.549, 0.657], [0.990, 0.049, 0.157], [0.966, 0.946, 0.853], [0.235, 0.446, 0.353], [0.590, 0.236, 0.734], [0.440, 0.736, 0.234], [0.029, 0.496, 0.000], [0.475, 0.996, 0.500], [0.321, 0.208, 0.336], [0.135, 0.708, 0.836], [0.367, 0.314, 0.916], [0.403, 0.814, 0.416], [0.164, 0.051, 0.699], [0.086, 0.551, 0.199], [0.689, 0.694, 0.059], [0.558, 0.194, 0.559], [0.817, 0.939, 0.315], [0.929, 0.439, 0.815], [0.613, 0.788, 0.671], [0.928, 0.288, 0.171], [0.476, 0.508, 0.334], [0.682, 0.008, 0.834], [0.654, 0.434, 0.618], [0.294, 0.934, 0.118], [0.891, 0.095, 0.986], [0.029, 0.595, 0.486]]}

{"formula": "CuI2Br", "functional": "PBE", "state": "relaxed", "spacegroup": "P2_1/m (11)", "magnetic_moment_mub_per_atom": 0.0000, "de_polymorph_ev_per_atom": 0.0000, "mass_density_g_cm3": 4.7, "lattice_angstrom": [[-0.428, -3.111, 2.783], [-1.539, -4.786, -2.703], [11.969, -2.997, -1.509]], "species": ["Cu", "Cu", "I", "I", "I", "I", "Br", "Br"], "frac_coords": [[0.978, 0.590, 0.250], [0.022, 0.410, 0.750], [0.110, 0.314, 0.418], [0.890, 0.686, 0.582], [0.890, 0.686, 0.918], [0.110, 0.314, 0.082], [0.363, 0.850, 0.250], [0.637, 0.150, 0.750]]}

Repeat the fourth record exactly.
{"formula": "CuI2Br", "functional": "PBE", "state": "relaxed", "spacegroup": "P2_1/m (11)", "magnetic_moment_mub_per_atom": 0.0000, "de_polymorph_ev_per_atom": 0.0000, "mass_density_g_cm3": 4.7, "lattice_angstrom": [[-0.428, -3.111, 2.783], [-1.539, -4.786, -2.703], [11.969, -2.997, -1.509]], "species": ["Cu", "Cu", "I", "I", "I", "I", "Br", "Br"], "frac_coords": [[0.978, 0.590, 0.250], [0.022, 0.410, 0.750], [0.110, 0.314, 0.418], [0.890, 0.686, 0.582], [0.890, 0.686, 0.918], [0.110, 0.314, 0.082], [0.363, 0.850, 0.250], [0.637, 0.150, 0.750]]}